Computed, not measured: an optimized crystal structure of Tm5OsAu4 at the PBE-GGA level of DFT.

Summary:
ΔE_f   -74.4 kJ/mol of atoms
Space group   P4/mmm (123)
Theoretical density   13.980 Mg/m³

abc: 3.482 3.482 17.853
angles: 90.00 90.00 90.00
Fractional coordinates of all 10 atoms:
Tm (0.000, 0.000, 0.000)
Tm (0.000, 0.000, 0.204)
Tm (0.000, 0.000, 0.409)
Tm (0.000, 0.000, 0.591)
Tm (0.000, 0.000, 0.796)
Os (0.500, 0.500, 0.500)
Au (0.500, 0.500, 0.100)
Au (0.500, 0.500, 0.304)
Au (0.500, 0.500, 0.696)
Au (0.500, 0.500, 0.900)



Computed, not measured: an optimized crystal structure of TbCeIrRu at the PBE-GGA level of DFT.

Summary:
ΔE_f   -52.5 kJ/mol of atoms
ΔE to the lowest computed polymorph   0 meV per atom
Space group   P4mm (99)
Theoretical density   11.917 Mg/m³

abc: 3.502 3.502 6.730
angles: 90.00 90.00 90.00
Fractional coordinates of all 4 atoms:
Tb (0.000, 0.000, 0.000)
Ce (0.000, 0.000, 0.498)
Ir (0.500, 0.500, 0.259)
Ru (0.500, 0.500, 0.732)



Computed, not measured: an optimized crystal structure of Er2CdTcC at the PBE-GGA level of DFT.

Summary:
ΔE_f   -32.2 kJ/mol of atoms
Space group   P4/mmm (123)
Theoretical density   9.470 Mg/m³

abc: 4.937 4.937 4.007
angles: 90.00 90.00 90.00
Fractional coordinates of all 5 atoms:
Er (0.000, 0.500, 0.000)
Er (0.500, 0.000, 0.000)
Cd (0.000, 0.000, 0.500)
Tc (0.500, 0.500, 0.500)
C (0.500, 0.500, 0.000)



Computed, not measured: an optimized crystal structure of TlHg2Au at the PBE-GGA level of DFT.

Summary:
ΔE_f   1.5 kJ/mol of atoms
ΔE to the lowest computed polymorph   39 meV per atom
Space group   Pm (6)
Theoretical density   12.549 Mg/m³

abc: 4.401 4.031 6.290
angles: 90.00 107.90 90.00
Fractional coordinates of all 4 atoms:
Tl (0.000, 0.000, 0.000)
Hg (0.265, 0.000, 0.540)
Hg (0.697, 0.500, 0.389)
Au (0.461, 0.500, 0.900)



Computed, not measured: an optimized crystal structure of TbBC at the PBE-GGA level of DFT.

Summary:
ΔE_f   6.1 kJ/mol of atoms
ΔE to the lowest computed polymorph   497 meV per atom
Space group   I4mm (107)
Theoretical density   6.493 Mg/m³

abc: 3.777 3.777 6.517
angles: 90.00 90.00 90.00
Fractional coordinates of all 6 atoms:
Tb (0.000, 0.000, 0.000)
Tb (0.500, 0.500, 0.500)
B (0.000, 0.000, 0.597)
B (0.500, 0.500, 0.097)
C (0.000, 0.000, 0.382)
C (0.500, 0.500, 0.882)



Computed, not measured: an optimized crystal structure of LiEuAs at the PBE-GGA level of DFT.

Summary:
ΔE_f   -66.5 kJ/mol of atoms
Space group   I4mm (107)
Theoretical density   5.436 Mg/m³

abc: 4.143 4.143 8.322
angles: 90.00 90.00 90.00
Fractional coordinates of all 6 atoms:
Li (0.000, 0.000, 0.000)
Li (0.500, 0.500, 0.500)
Eu (0.000, 0.000, 0.670)
Eu (0.500, 0.500, 0.170)
As (0.000, 0.000, 0.309)
As (0.500, 0.500, 0.809)



Computed, not measured: an optimized crystal structure of PmTh2Sc8 at the PBE-GGA level of DFT.

Summary:
ΔE_f   16.5 kJ/mol of atoms
ΔE to the lowest computed polymorph   0 meV per atom
Space group   C2/m (12)
Theoretical density   5.234 Mg/m³

abc: 9.696 9.696 5.143
angles: 92.54 92.54 39.52
Fractional coordinates of all 11 atoms:
Pm (0.000, 0.000, 0.000)
Th (0.282, 0.282, 0.746)
Th (0.718, 0.718, 0.254)
Sc (0.140, 0.603, 0.271)
Sc (0.179, 0.179, 0.231)
Sc (0.397, 0.860, 0.729)
Sc (0.453, 0.453, 0.763)
Sc (0.547, 0.547, 0.237)
Sc (0.603, 0.140, 0.271)
Sc (0.821, 0.821, 0.769)
Sc (0.860, 0.397, 0.729)



Computed, not measured: an optimized crystal structure of Zr2FeW at the PBE-GGA level of DFT.

Summary:
ΔE_f   24.8 kJ/mol of atoms
ΔE to the lowest computed polymorph   213 meV per atom
Space group   P2/m (10)
Theoretical density   9.849 Mg/m³

abc: 2.910 4.401 5.629
angles: 90.00 99.17 90.00
Fractional coordinates of all 4 atoms:
Zr (0.247, 0.000, 0.255)
Zr (0.753, 0.000, 0.745)
Fe (0.000, 0.500, 0.500)
W (0.500, 0.500, 0.000)



Computed, not measured: an optimized crystal structure of AcDy2Hg at the PBE-GGA level of DFT.

Summary:
ΔE_f   -18.3 kJ/mol of atoms
ΔE to the lowest computed polymorph   14 meV per atom
Space group   Pnma (62)
Theoretical density   9.482 Mg/m³

abc: 9.501 8.296 6.689
angles: 90.00 90.00 90.00
Fractional coordinates of all 16 atoms:
Ac (0.027, 0.250, 0.096)
Ac (0.473, 0.750, 0.596)
Ac (0.527, 0.250, 0.404)
Ac (0.973, 0.750, 0.904)
Dy (0.177, 0.044, 0.601)
Dy (0.177, 0.456, 0.601)
Dy (0.323, 0.544, 0.101)
Dy (0.323, 0.956, 0.101)
Dy (0.677, 0.044, 0.899)
Dy (0.677, 0.456, 0.899)
Dy (0.823, 0.544, 0.399)
Dy (0.823, 0.956, 0.399)
Hg (0.107, 0.750, 0.363)
Hg (0.393, 0.250, 0.863)
Hg (0.607, 0.750, 0.137)
Hg (0.893, 0.250, 0.637)



Computed, not measured: an optimized crystal structure of LiGaRu at the PBE-GGA level of DFT.

Summary:
ΔE_f   -18.0 kJ/mol of atoms
ΔE to the lowest computed polymorph   58 meV per atom
Space group   P1 (1)
Theoretical density   7.117 Mg/m³

abc: 4.393 4.772 5.012
angles: 96.84 110.27 116.95
Fractional coordinates of all 6 atoms:
Li (0.000, 0.000, 0.000)
Li (0.327, 0.696, 0.000)
Ga (0.433, 0.526, 0.504)
Ga (0.668, 0.335, 0.011)
Ru (0.089, 0.853, 0.487)
Ru (0.769, 0.189, 0.513)



Computed, not measured: an optimized crystal structure of Nd3AgPd2 at the PBE-GGA level of DFT.

Summary:
ΔE_f   -48.1 kJ/mol of atoms
ΔE to the lowest computed polymorph   0 meV per atom
Space group   R-3c (167)
Theoretical density   7.547 Mg/m³

abc: 7.840 7.840 7.840
angles: 58.82 58.82 58.82
Fractional coordinates of all 12 atoms:
Nd (0.042, 0.750, 0.458)
Nd (0.250, 0.542, 0.958)
Nd (0.458, 0.042, 0.750)
Nd (0.542, 0.958, 0.250)
Nd (0.750, 0.458, 0.042)
Nd (0.958, 0.250, 0.542)
Ag (0.000, 0.000, 0.000)
Ag (0.500, 0.500, 0.500)
Pd (0.146, 0.146, 0.146)
Pd (0.354, 0.354, 0.354)
Pd (0.646, 0.646, 0.646)
Pd (0.854, 0.854, 0.854)



Computed, not measured: an optimized crystal structure of TiAsW at the PBE-GGA level of DFT.

Summary:
ΔE_f   -9.6 kJ/mol of atoms
Space group   P-6m2 (187)
Theoretical density   10.169 Mg/m³

abc: 3.193 3.193 11.342
angles: 90.00 90.00 120.00
Fractional coordinates of all 6 atoms:
Ti (0.000, 0.000, 0.174)
Ti (0.000, 0.000, 0.826)
As (0.667, 0.333, 0.344)
As (0.667, 0.333, 0.656)
W (0.000, 0.000, 0.500)
W (0.667, 0.333, 0.000)



Computed, not measured: an optimized crystal structure of AlP2Cl at the PBE-GGA level of DFT.

Summary:
ΔE to the lowest computed polymorph   566 meV per atom
Space group   P4/mmm (123)
Theoretical density   2.819 Mg/m³

abc: 3.500 3.500 5.981
angles: 90.00 90.00 90.00
Fractional coordinates of all 4 atoms:
Al (0.000, 0.000, 0.000)
P (0.000, 0.500, 0.500)
P (0.500, 0.000, 0.500)
Cl (0.500, 0.500, 0.000)